VASP calculation (GGA-PBE) on a relaxed structure of Hf2Ag2F.

Structure (extended XYZ):
```
5
Lattice="3.903 0.000 0.000 0.000 3.903 0.000 1.951 1.951 7.243" Properties=species:S:1:pos:R:3 pbc="T T T"
Hf 3.903 1.951 3.622
Hf 1.951 3.903 3.622
Ag 1.951 1.951 1.403
Ag 3.903 3.903 5.841
F 0.000 0.000 0.000
```

## Properties
The space group is I4/mmm (139). Its formation energy (no corrections) is 0.1883 eV/atom. As for the energy above the lowest structure with this stoichiometry: 848 meV/atom.